# 1
Material: TaCr2BRh
Method: DFT, meta-GGA SCAN
State: single point on PBEsol structure

ΔH_f (0 K) ... 2161 meV/atom
Calculated volume ... 98.21 Å³ per cell
Electronic total energy ... -26.75 eV per atom
D(E_F) ... 0.670 states/eV per atom
Magnetic moment ... 6.1 μB per formula unit
ρ ... 6.74 g/cm³

abc: 4.636 4.636 4.570
angles: 90.00 90.00 90.00
Space group P4/mmm (No. 123)
Asymmetric unit:
Ta: 0.000 0.000 0.000 x1
Cr: 0.000 0.500 0.000 x2
B: 0.500 0.500 0.500 x1
Rh: 0.000 0.000 0.500 x1



# 2
Material: CrBSb2Te
Method: DFT, meta-GGA SCAN
State: single point on PBEsol structure

Calculated volume ... 121.78 Å³ per cell
Formation energy without anion corrections ... 1.266 eV per atom
Electronic total energy ... -26.25 eV per atom
D(E_F) ... 0.762 states/eV per atom
Magnetic moment ... 2.5 μB per formula unit
ρ ... 5.92 g/cm³

abc: 4.926 4.926 5.019
angles: 90.00 90.00 90.00
Space group P4/mmm (No. 123)
Asymmetric unit:
Cr: 0.000 0.000 0.000 x1
B: 0.500 0.500 0.500 x1
Sb: 0.000 0.500 0.000 x2
Te: 0.000 0.000 0.500 x1



# 3
Material: CrB2Se
Method: DFT, meta-GGA SCAN
State: single point on PBEsol structure

Calculated volume ... 213.24 Å³ per cell
Formation energy without anion corrections ... 0.742 eV per atom
Electronic total energy ... -12.59 eV per atom
D(E_F) ... 0.085 states/eV per atom
Magnetic moment ... 2.0 μB per formula unit
ρ ... 4.75 g/cm³

abc: 4.925 4.925 8.790
angles: 90.00 90.00 90.00
Space group I-42d (No. 122)
Asymmetric unit:
Cr: 0.000 0.000 0.000 x4
B: 0.249 0.750 0.625 x8
Se: 0.000 0.000 0.500 x4



# 4
Material: CrBSe2
Method: DFT, meta-GGA SCAN
State: single point on PBEsol structure

Calculated volume ... 201.27 Å³ per cell
Formation energy without anion corrections ... 0.526 eV per atom
Electronic total energy ... -15.97 eV per atom
D(E_F) ... 0.481 states/eV per atom
Magnetic moment ... 4.1 μB per formula unit
ρ ... 5.46 g/cm³

abc: 3.2543 3.2543 21.9454
angles: 90.00 90.00 120.00
Space group R-3m (No. 166, hexagonal axes)
Asymmetric unit:
Cr: 0.0000 0.0000 0.0000 x3
B: 0.0000 0.0000 0.5000 x3
Se: 0.0000 0.0000 0.1092 x6



# 5
Material: Cr2SiB
Method: DFT, meta-GGA SCAN
State: single point on PBEsol structure

Calculated volume ... 171.39 Å³ per cell
Formation energy without anion corrections ... 0.291 eV per atom
Electronic total energy ... -13.26 eV per atom
D(E_F) ... 0.668 states/eV per atom
Magnetic moment ... 0.0 μB per formula unit
ρ ... 5.54 g/cm³

abc: 6.285 6.285 4.339
angles: 90.00 90.00 90.00
Space group I-42d (No. 122)
Asymmetric unit:
Cr: 0.181 0.750 0.125 x8
Si: 0.000 0.000 0.500 x4
B: 0.000 0.000 0.000 x4



# 6
Material: Sr2CrSnB
Method: DFT, meta-GGA SCAN
State: single point on PBEsol structure

ΔH_f (0 K) ... 343 meV/atom
Calculated volume ... 137.76 Å³ per cell
Electronic total energy ... -20.91 eV per atom
D(E_F) ... 0.608 states/eV per atom
Magnetic moment ... 5.5 μB per formula unit
ρ ... 4.30 g/cm³

abc: 5.590 5.590 4.409
angles: 90.00 90.00 90.00
Space group P4/mmm (No. 123)
Asymmetric unit:
Sr: 0.000 0.500 0.000 x2
Cr: 0.000 0.000 0.500 x1
Sn: 0.500 0.500 0.500 x1
B: 0.500 0.500 0.000 x1



# 7
Material: TaCrB4
Method: DFT, meta-GGA SCAN
State: single point on PBEsol structure

ΔH_f (0 K) ... -545 meV/atom
Calculated volume ... 49.56 Å³ per cell
Electronic total energy ... -19.66 eV per atom
D(E_F) ... 0.254 states/eV per atom
Magnetic moment ... 2.2 μB per formula unit
ρ ... 9.25 g/cm³

abc: 3.0576 3.0576 6.1217
angles: 90.00 90.00 120.00
Space group P6/mmm (No. 191)
Asymmetric unit:
Ta: 0.0000 0.0000 0.0000 x1
Cr: 0.0000 0.0000 0.5000 x1
B: 0.3333 0.6667 0.2679 x4



# 8
Material: CrTcB2
Method: DFT, meta-GGA SCAN
State: single point on PBEsol structure

ΔH_f (0 K) ... 189 meV/atom
Calculated volume ... 145.64 Å³ per cell
Electronic total energy ... -16.89 eV per atom
D(E_F) ... 0.749 states/eV per atom
Magnetic moment ... 0.0 μB per formula unit
ρ ... 7.83 g/cm³

abc: 5.261 5.261 5.261
angles: 90.00 90.00 90.00
Space group Fm-3m (No. 225)
Asymmetric unit:
Cr: 0.000 0.000 0.000 x4
Tc: 0.000 0.000 0.500 x4
B: 0.250 0.250 0.250 x8



# 9
Material: CrB3Te
Method: DFT, meta-GGA SCAN
State: single point on PBEsol structure

Calculated volume ... 84.32 Å³ per cell
Formation energy without anion corrections ... 2.359 eV per atom
Electronic total energy ... -13.23 eV per atom
D(E_F) ... 0.573 states/eV per atom
Magnetic moment ... 4.2 μB per formula unit
ρ ... 4.18 g/cm³

abc: 4.385 4.385 4.385
angles: 90.00 90.00 90.00
Space group Pm-3m (No. 221)
Asymmetric unit:
Cr: 0.000 0.000 0.000 x1
B: 0.000 0.500 0.500 x3
Te: 0.500 0.500 0.500 x1



# 10
Material: TiCrB4
Method: DFT, meta-GGA SCAN
State: single point on PBEsol structure

ΔH_f (0 K) ... -743 meV/atom
Calculated volume ... 47.30 Å³ per cell
Electronic total energy ... -11.43 eV per atom
D(E_F) ... 0.361 states/eV per atom
Magnetic moment ... 1.9 μB per formula unit
ρ ... 5.02 g/cm³

abc: 3.0040 3.0040 6.0522
angles: 90.00 90.00 120.00
Space group P6/mmm (No. 191)
Asymmetric unit:
Ti: 0.0000 0.0000 0.0000 x1
Cr: 0.0000 0.0000 0.5000 x1
B: 0.3333 0.6667 0.2600 x4



# 11
Material: Ti2CrB2
Method: DFT, meta-GGA SCAN
State: single point on PBEsol structure

ΔH_f (0 K) ... -685 meV/atom
Calculated volume ... 104.07 Å³ per cell
Electronic total energy ... -13.75 eV per atom
D(E_F) ... 0.560 states/eV per atom
Magnetic moment ... 0.0 μB per formula unit
ρ ... 5.40 g/cm³

abc: 5.789 5.789 3.106
angles: 90.00 90.00 90.00
Space group P4/mbm (No. 127)
Asymmetric unit:
Ti: 0.183 0.317 0.000 x4
Cr: 0.000 0.000 0.500 x2
B: 0.109 0.609 0.500 x4



# 12
Material: VCrB2
Method: DFT, meta-GGA SCAN
State: single point on PBEsol structure

ΔH_f (0 K) ... -707 meV/atom
Calculated volume ... 67.64 Å³ per cell
Electronic total energy ... -13.39 eV per atom
D(E_F) ... 0.498 states/eV per atom
Magnetic moment ... 0.0 μB per formula unit
ρ ... 6.12 g/cm³

abc: 2.912 2.955 7.860
angles: 90.00 90.00 90.00
Space group Amm2 (No. 38)
Asymmetric unit:
V: 0.000 0.000 0.000 x2
Cr: 0.500 0.000 0.706 x2
B: 0.000 0.000 0.288 x2
B: 0.500 0.000 0.416 x2



# 13
Material: YCrB4
Method: DFT, meta-GGA SCAN
State: single point on PBEsol structure

ΔH_f (0 K) ... -705 meV/atom
Calculated volume ... 227.92 Å³ per cell
Electronic total energy ... -13.36 eV per atom
Magnetic moment ... 0.0 μB per formula unit
ρ ... 5.37 g/cm³

abc: 5.892 11.387 3.397
angles: 90.00 90.00 90.00
Space group Pbam (No. 55)
Asymmetric unit:
Y: 0.125 0.151 0.000 x4
Cr: 0.122 0.421 0.000 x4
B: 0.025 0.692 0.500 x4
B: 0.113 0.547 0.500 x4
B: 0.137 0.967 0.500 x4
B: 0.220 0.816 0.500 x4



# 14
Material: ZrCrB2
Method: DFT, meta-GGA SCAN
State: single point on PBEsol structure

ΔH_f (0 K) ... 120 meV/atom
Calculated volume ... 199.89 Å³ per cell
Electronic total energy ... -15.87 eV per atom
D(E_F) ... 0.333 states/eV per atom
Magnetic moment ... 0.0 μB per formula unit
ρ ... 5.48 g/cm³

abc: 3.810 3.810 13.772
angles: 90.00 90.00 90.00
Space group I4_1/amd (No. 141, origin choice 2)
Asymmetric unit:
Zr: 0.000 0.250 0.375 x4
Cr: 0.000 0.250 0.875 x4
B: 0.000 0.000 0.000 x8



# 15
Material: Cs2CuB
Method: DFT, meta-GGA SCAN
State: single point on PBEsol structure

ΔH_f (0 K) ... 1275 meV/atom
Calculated volume ... 535.98 Å³ per cell
Electronic total energy ... -23.29 eV per atom
D(E_F) ... 1.019 states/eV per atom
Magnetic moment ... 2.0 μB per formula unit
ρ ... 4.22 g/cm³

abc: 8.123 8.123 8.123
angles: 90.00 90.00 90.00
Space group Fm-3m (No. 225)
Asymmetric unit:
Cs: 0.250 0.250 0.250 x8
Cu: 0.000 0.000 0.000 x4
B: 0.000 0.000 0.500 x4



# 16
Material: CsBF4
Method: DFT, meta-GGA SCAN
State: single point on PBEsol structure

Calculated volume ... 415.27 Å³ per cell
Formation energy without anion corrections ... -3.201 eV per atom
Electronic total energy ... -13.10 eV per atom
D(E_F) ... 0.000 states/eV per atom
Magnetic moment ... 0.1 μB per formula unit
ρ ... 3.51 g/cm³

abc: 9.594 5.700 7.594
angles: 90.00 90.00 90.00
Space group Pnma (No. 62)
Asymmetric unit:
Cs: 0.192 0.250 0.159 x4
B: 0.050 0.250 0.702 x4
F: 0.073 0.048 0.807 x8
F: 0.088 0.750 0.359 x4
F: 0.145 0.250 0.560 x4



# 17
Material: CsHgBF2
Method: DFT, meta-GGA SCAN
State: single point on PBEsol structure

Calculated volume ... 92.80 Å³ per cell
Formation energy without anion corrections ... -1.043 eV per atom
Electronic total energy ... -25.14 eV per atom
Magnetic moment ... 0.0 μB per formula unit
ρ ... 6.84 g/cm³

abc: 4.681 4.681 4.235
angles: 90.00 90.00 90.00
Space group P4/mmm (No. 123)
Asymmetric unit:
Cs: 0.000 0.000 0.000 x1
Hg: 0.500 0.500 0.000 x1
B: 0.500 0.500 0.500 x1
F: 0.000 0.500 0.500 x2



# 18
Material: Cs2BIrF
Method: DFT, meta-GGA SCAN
State: single point on PBEsol structure

Calculated volume ... 129.94 Å³ per cell
Formation energy without anion corrections ... 0.762 eV per atom
Electronic total energy ... -30.78 eV per atom
D(E_F) ... 0.466 states/eV per atom
Magnetic moment ... 1.1 μB per formula unit
ρ ... 6.23 g/cm³

abc: 5.806 5.806 3.854
angles: 90.00 90.00 90.00
Space group P4/mmm (No. 123)
Asymmetric unit:
Cs: 0.000 0.500 0.000 x2
B: 0.000 0.000 0.500 x1
Ir: 0.500 0.500 0.500 x1
F: 0.000 0.000 0.000 x1



# 19
Material: Cs2Ga2B2O7
Method: DFT, meta-GGA SCAN
State: single point on PBEsol structure

Calculated volume ... 840.78 Å³ per cell
Formation energy without anion corrections ... -2.341 eV per atom
Electronic total energy ... -15.17 eV per atom
D(E_F) ... 0.000 states/eV per atom
Magnetic moment ... 0.0 μB per formula unit
ρ ... 4.26 g/cm³

abc: 8.850 8.031 12.178
angles: 90.00 103.73 90.00
Space group P2_1/c (No. 14)
Asymmetric unit:
Cs: 0.033 0.123 0.130 x4
Cs: 0.431 0.618 0.846 x4
Ga: 0.186 0.562 0.133 x4
Ga: 0.341 0.112 0.888 x4
B: 0.148 0.108 0.421 x4
B: 0.328 0.644 0.564 x4
O: 0.019 0.011 0.375 x4
O: 0.191 0.226 0.353 x4
O: 0.199 0.718 0.590 x4
O: 0.241 0.080 0.528 x4
O: 0.305 0.012 0.016 x4
O: 0.316 0.534 0.272 x4
O: 0.470 0.723 0.590 x4



# 20
Material: CsGe3B
Method: DFT, meta-GGA SCAN
State: single point on PBEsol structure

ΔH_f (0 K) ... 2845 meV/atom
Calculated volume ... 174.16 Å³ per cell
Electronic total energy ... -17.66 eV per atom
D(E_F) ... 0.669 states/eV per atom
Magnetic moment ... 0.0 μB per formula unit
ρ ... 3.45 g/cm³

abc: 5.585 5.585 5.585
angles: 90.00 90.00 90.00
Space group Pm-3m (No. 221)
Asymmetric unit:
Cs: 0.000 0.000 0.000 x1
Ge: 0.000 0.000 0.500 x3
B: 0.500 0.500 0.500 x1